{"formula": "CsNdCdCl6", "functional": "PBE-GGA", "state": "optimized geometry", "raw_formation_energy_kj_per_mol_atoms": -173.0, "vol_a3_per_atom": 38.594, "magmom_total_mub_per_cell": 0.00, "space_group": "Imma, No. 74", "dos_at_fermi_per_ev_atom": 0.00, "lattice": [[-4.798, 5.076, 7.132], [4.798, -5.076, 7.132], [4.798, 5.076, -7.132]], "species": ["Cs", "Cs", "Nd", "Nd", "Cd", "Cd", "Cl", "Cl", "Cl", "Cl", "Cl", "Cl", "Cl", "Cl", "Cl", "Cl", "Cl", "Cl"], "frac_coords": [[0.303, 0.053, 0.250], [0.697, 0.947, 0.750], [0.000, 0.500, 0.500], [0.500, 0.500, 0.000], [0.000, 0.000, 0.500], [0.000, 0.500, 0.000], [0.061, 0.404, 0.226], [0.061, 0.811, 0.250], [0.061, 0.834, 0.656], [0.322, 0.166, 0.726], [0.322, 0.596, 0.156], [0.329, 0.579, 0.750], [0.671, 0.421, 0.250], [0.678, 0.404, 0.844], [0.678, 0.834, 0.274], [0.939, 0.166, 0.344], [0.939, 0.189, 0.750], [0.939, 0.596, 0.774]]}


{"formula": "CsCdNi2Cl8", "functional": "PBE-GGA", "state": "optimized geometry", "raw_formation_energy_kj_per_mol_atoms": -82.5, "vol_a3_per_atom": 29.183, "magmom_total_mub_per_cell": 5.00, "space_group": "R-3, No. 148", "dos_at_fermi_per_ev_atom": 0.67, "lattice": [[3.243, 1.873, 9.610], [-3.243, 1.873, 9.610], [0.000, -3.745, 9.610]], "species": ["Cs", "Cd", "Ni", "Ni", "Cl", "Cl", "Cl", "Cl", "Cl", "Cl", "Cl", "Cl"], "frac_coords": [[0.000, 0.000, 0.000], [0.500, 0.500, 0.500], [0.242, 0.242, 0.242], [0.758, 0.758, 0.758], [0.109, 0.775, 0.452], [0.225, 0.548, 0.891], [0.318, 0.318, 0.318], [0.452, 0.109, 0.775], [0.548, 0.891, 0.225], [0.682, 0.682, 0.682], [0.775, 0.452, 0.109], [0.891, 0.225, 0.548]]}